Computed, not measured: a relaxed AsPBrCl2 crystal at the PBE level of DFT.

CIF file:
```
data_AsPBrCl2
_chemical_formula_sum 'As1 P1 Br1 Cl2'
_space_group_name_H-M_alt 'P 4/m m m'
_space_group_IT_number 123
_space_group_name_Hall '-P 4 2'
_cell_length_a 4.7856
_cell_length_b 4.7856
_cell_length_c 5.5654
_cell_angle_alpha 90.00
_cell_angle_beta 90.00
_cell_angle_gamma 90.00
loop_
_atom_site_label
_atom_site_type_symbol
_atom_site_fract_x
_atom_site_fract_y
_atom_site_fract_z
As1 As 0.0000 0.0000 0.0000
P1 P 0.0000 0.0000 0.5000
Br1 Br 0.5000 0.5000 0.5000
Cl1 Cl 0.0000 0.5000 0.0000
```

Calculated values
The total moment is 1.0 Bohr magnetons per cell. The calculation puts the formation energy without anion corrections at 0.268 eV/atom. For the density of states at the Fermi level, the calculation gives 0.25 states/eV/atom. The total energy comes out at -2.817 eV/atom. For the polymorph energy (0 for the lowest one), the calculation gives 0.000 eV/atom.